# LiMg3Zn PBE optimized geometry
# - ΔE_f: -37 meV/atom
# - Total energy: -1.632 eV per atom
# - Polymorph energy (0 for the lowest one): 0.056 eV per atom
data_LiMg3Zn
_chemical_formula_sum 'Li2 Mg6 Zn2'
_cell_length_a 4.364
_cell_length_b 7.924
_cell_length_c 5.902
_cell_angle_alpha 90.00
_cell_angle_beta 90.00
_cell_angle_gamma 90.00
_symmetry_space_group_name_H-M 'P m m n'
_symmetry_Int_Tables_number 59
loop_
_symmetry_equiv_pos_as_xyz
'x,y,z'
'-x,-y,-z'
'-x+1/2,-y+1/2,z'
'x+1/2,y+1/2,-z'
'x+1/2,-y,-z'
'-x+1/2,y,z'
'-x,y+1/2,-z'
'x,-y+1/2,z'
loop_
_atom_site_label
_atom_site_type_symbol
_atom_site_fract_x
_atom_site_fract_y
_atom_site_fract_z
Li1 Li 0.250 0.250 0.043
Mg1 Mg 0.250 0.555 0.721
Mg2 Mg 0.250 0.750 0.240
Zn1 Zn 0.250 0.250 0.482



# Li7Mg2Zn2 PBE optimized geometry
# - ΔE_f: -41 meV/atom
# - Total energy: -1.780 eV per atom
# - Polymorph energy (0 for the lowest one): 0.000 eV per atom
data_Li7Mg2Zn2
_chemical_formula_sum 'Li14 Mg4 Zn4'
_cell_length_a 8.687
_cell_length_b 9.603
_cell_length_c 5.059
_cell_angle_alpha 90.00
_cell_angle_beta 108.95
_cell_angle_gamma 90.00
_symmetry_space_group_name_H-M 'C 1 2/m 1'
_symmetry_Int_Tables_number 12
loop_
_symmetry_equiv_pos_as_xyz
'x,y,z'
'-x,-y,-z'
'-x,y,-z'
'x,-y,z'
'x+1/2,y+1/2,z'
'-x+1/2,-y+1/2,-z'
'-x+1/2,y+1/2,-z'
'x+1/2,-y+1/2,z'
loop_
_atom_site_label
_atom_site_type_symbol
_atom_site_fract_x
_atom_site_fract_y
_atom_site_fract_z
Li1 Li 0.000 0.000 0.000
Li2 Li 0.085 0.500 0.785
Li3 Li 0.171 0.237 0.169
Mg1 Mg 0.199 0.000 0.606
Zn1 Zn 0.000 0.246 0.500



# Li5MgZn6 PBE optimized geometry
# - ΔE_f: -141 meV/atom
# - Total energy: -1.708 eV per atom
data_Li5MgZn6
_chemical_formula_sum 'Li10 Mg2 Zn12'
_cell_length_a 4.011
_cell_length_b 8.197
_cell_length_c 11.458
_cell_angle_alpha 90.00
_cell_angle_beta 90.00
_cell_angle_gamma 90.00
_symmetry_space_group_name_H-M 'I m m m'
_symmetry_Int_Tables_number 71
_symmetry_space_group_name_Hall '-I 2 2'
loop_
_atom_site_label
_atom_site_type_symbol
_atom_site_fract_x
_atom_site_fract_y
_atom_site_fract_z
Li1 Li 0.000 0.000 0.000
Li2 Li 0.000 0.000 0.329
Li3 Li 0.000 0.500 0.334
Mg1 Mg 0.000 0.500 0.000
Zn1 Zn 0.000 0.246 0.168
Zn2 Zn 0.000 0.257 0.500



# Li12Mg7Zn PBE optimized geometry
# - ΔE_f: 314 meV/atom
# - Total energy: -1.456 eV per atom
# - Polymorph energy (0 for the lowest one): 0.316 eV per atom
data_Li12Mg7Zn
_chemical_formula_sum 'Li24 Mg14 Zn2'
_cell_length_a 10.372
_cell_length_b 10.372
_cell_length_c 10.372
_cell_angle_alpha 90.00
_cell_angle_beta 90.00
_cell_angle_gamma 90.00
_symmetry_space_group_name_H-M 'I m -3'
_symmetry_Int_Tables_number 204
_symmetry_space_group_name_Hall '-I 2 2 3'
loop_
_atom_site_label
_atom_site_type_symbol
_atom_site_fract_x
_atom_site_fract_y
_atom_site_fract_z
Li1 Li 0.000 0.359 0.252
Mg1 Mg 0.000 0.000 0.500
Mg2 Mg 0.250 0.250 0.250
Zn1 Zn 0.000 0.000 0.000



# Li9Mg2Zn PBE optimized geometry
# - ΔE_f: 44 meV/atom
# - Total energy: -1.764 eV per atom
data_Li9Mg2Zn
_chemical_formula_sum 'Li18 Mg4 Zn2'
_cell_length_a 8.012
_cell_length_b 5.420
_cell_length_c 11.418
_cell_angle_alpha 90.00
_cell_angle_beta 97.25
_cell_angle_gamma 90.00
_symmetry_space_group_name_H-M 'C 1 2/m 1'
_symmetry_Int_Tables_number 12
loop_
_symmetry_equiv_pos_as_xyz
'x,y,z'
'-x,-y,-z'
'-x,y,-z'
'x,-y,z'
'x+1/2,y+1/2,z'
'-x+1/2,-y+1/2,-z'
'-x+1/2,y+1/2,-z'
'x+1/2,-y+1/2,z'
loop_
_atom_site_label
_atom_site_type_symbol
_atom_site_fract_x
_atom_site_fract_y
_atom_site_fract_z
Li1 Li 0.000 0.000 0.000
Li2 Li 0.060 0.242 0.300
Li3 Li 0.171 0.500 0.538
Li4 Li 0.190 0.500 0.840
Mg1 Mg 0.174 0.500 0.090
Zn1 Zn 0.000 0.000 0.500



# Li6MgZn2 PBE optimized geometry
# - ΔE_f: 114 meV/atom
# - Total energy: -1.622 eV per atom
# - Polymorph energy (0 for the lowest one): 0.189 eV per atom
data_Li6MgZn2
_chemical_formula_sum 'Li12 Mg2 Zn4'
_cell_length_a 5.242
_cell_length_b 5.242
_cell_length_c 13.421
_cell_angle_alpha 90.00
_cell_angle_beta 90.00
_cell_angle_gamma 90.00
_symmetry_space_group_name_H-M 'I -4 2 m'
_symmetry_Int_Tables_number 121
_symmetry_space_group_name_Hall 'I -4 2'
loop_
_atom_site_label
_atom_site_type_symbol
_atom_site_fract_x
_atom_site_fract_y
_atom_site_fract_z
Li1 Li 0.000 0.500 0.250
Li2 Li 0.172 0.172 0.100
Mg1 Mg 0.000 0.000 0.500
Zn1 Zn 0.000 0.000 0.293



# Li9Mg3Zn2 PBE optimized geometry
# - ΔE_f: -56 meV/atom
# - Total energy: -1.810 eV per atom
data_Li9Mg3Zn2
_chemical_formula_sum 'Li18 Mg6 Zn4'
_cell_length_a 4.664
_cell_length_b 9.959
_cell_length_c 11.238
_cell_angle_alpha 90.00
_cell_angle_beta 90.00
_cell_angle_gamma 90.00
_symmetry_space_group_name_H-M 'I m m m'
_symmetry_Int_Tables_number 71
_symmetry_space_group_name_Hall '-I 2 2'
loop_
_atom_site_label
_atom_site_type_symbol
_atom_site_fract_x
_atom_site_fract_y
_atom_site_fract_z
Li1 Li 0.000 0.000 0.000
Li2 Li 0.000 0.136 0.372
Li3 Li 0.000 0.222 0.135
Mg1 Mg 0.000 0.500 0.000
Mg2 Mg 0.000 0.500 0.283
Zn1 Zn 0.000 0.360 0.500



# Li2Mg2Zn15 PBE optimized geometry
# - ΔE_f: -64 meV/atom
# - Total energy: -1.439 eV per atom
data_Li2Mg2Zn15
_chemical_formula_sum 'Li6 Mg6 Zn45'
_cell_length_a 8.9537
_cell_length_b 8.9537
_cell_length_c 13.1308
_cell_angle_alpha 90.00
_cell_angle_beta 90.00
_cell_angle_gamma 120.00
_symmetry_space_group_name_H-M 'R -3 m'
_symmetry_Int_Tables_number 166
_symmetry_space_group_name_Hall '-R 3 2"'
loop_
_atom_site_label
_atom_site_type_symbol
_atom_site_fract_x
_atom_site_fract_y
_atom_site_fract_z
Li1 Li 0.0000 0.0000 0.1013
Mg1 Mg 0.0000 0.0000 0.3492
Zn1 Zn 0.0000 0.3009 0.0000
Zn2 Zn 0.0000 0.5000 0.5000
Zn3 Zn 0.0069 0.5035 0.1519



# LiMg4Zn3 PBE optimized geometry
# - ΔE_f: -95 meV/atom
# - Total energy: -1.609 eV per atom
data_LiMg4Zn3
_chemical_formula_sum 'Li2 Mg8 Zn6'
_cell_length_a 14.263
_cell_length_b 4.646
_cell_length_c 4.646
_cell_angle_alpha 90.00
_cell_angle_beta 108.93
_cell_angle_gamma 90.00
_symmetry_space_group_name_H-M 'C 1 2/m 1'
_symmetry_Int_Tables_number 12
loop_
_symmetry_equiv_pos_as_xyz
'x,y,z'
'-x,-y,-z'
'-x,y,-z'
'x,-y,z'
'x+1/2,y+1/2,z'
'-x+1/2,-y+1/2,-z'
'-x+1/2,y+1/2,-z'
'x+1/2,-y+1/2,z'
loop_
_atom_site_label
_atom_site_type_symbol
_atom_site_fract_x
_atom_site_fract_y
_atom_site_fract_z
Li1 Li 0.000 0.000 0.000
Mg1 Mg 0.127 0.000 0.626
Mg2 Mg 0.127 0.500 0.126
Zn1 Zn 0.000 0.500 0.500
Zn2 Zn 0.245 0.000 0.245



# LiMg3Zn8 PBE optimized geometry
# - ΔE_f: -143 meV/atom
# - Total energy: -1.550 eV per atom
data_LiMg3Zn8
_chemical_formula_sum 'Li3 Mg9 Zn24'
_cell_length_a 5.1848
_cell_length_b 5.1848
_cell_length_c 25.4303
_cell_angle_alpha 90.00
_cell_angle_beta 90.00
_cell_angle_gamma 120.00
_symmetry_space_group_name_H-M 'R 3 m'
_symmetry_Int_Tables_number 160
_symmetry_space_group_name_Hall 'R 3 -2"'
loop_
_atom_site_label
_atom_site_type_symbol
_atom_site_fract_x
_atom_site_fract_y
_atom_site_fract_z
Li1 Li 0.0000 0.0000 0.0000
Mg1 Mg 0.0000 0.0000 0.1245
Mg2 Mg 0.0000 0.0000 0.5010
Mg3 Mg 0.0000 0.0000 0.6278
Zn1 Zn 0.0000 0.0000 0.3138
Zn2 Zn 0.0000 0.0000 0.8134
Zn3 Zn 0.0002 0.5001 0.0631
Zn4 Zn 0.0007 0.5003 0.5639



# Li8MgZn2 PBE optimized geometry
# - ΔE_f: 76 meV/atom
# - Total energy: -1.693 eV per atom
# - Polymorph energy (0 for the lowest one): 0.148 eV per atom
data_Li8MgZn2
_chemical_formula_sum 'Li16 Mg2 Zn4'
_cell_length_a 10.193
_cell_length_b 10.080
_cell_length_c 4.600
_cell_angle_alpha 90.00
_cell_angle_beta 98.33
_cell_angle_gamma 90.00
_symmetry_space_group_name_H-M 'C 1 2/m 1'
_symmetry_Int_Tables_number 12
loop_
_symmetry_equiv_pos_as_xyz
'x,y,z'
'-x,-y,-z'
'-x,y,-z'
'x,-y,z'
'x+1/2,y+1/2,z'
'-x+1/2,-y+1/2,-z'
'-x+1/2,y+1/2,-z'
'x+1/2,-y+1/2,z'
loop_
_atom_site_label
_atom_site_type_symbol
_atom_site_fract_x
_atom_site_fract_y
_atom_site_fract_z
Li1 Li 0.086 0.000 0.302
Li2 Li 0.133 0.251 0.712
Li3 Li 0.227 0.000 0.894
Mg1 Mg 0.000 0.500 0.000
Zn1 Zn 0.142 0.500 0.543



# Li7Mg2Zn3 PBE optimized geometry
# - ΔE_f: -64 meV/atom
# - Total energy: -1.764 eV per atom
data_Li7Mg2Zn3
_chemical_formula_sum 'Li7 Mg2 Zn3'
_cell_length_a 4.913
_cell_length_b 2.947
_cell_length_c 14.665
_cell_angle_alpha 90.00
_cell_angle_beta 93.16
_cell_angle_gamma 90.00
_symmetry_space_group_name_H-M 'P 1 2/m 1'
_symmetry_Int_Tables_number 10
loop_
_symmetry_equiv_pos_as_xyz
'x,y,z'
'-x,-y,-z'
'-x,y,-z'
'x,-y,z'
loop_
_atom_site_label
_atom_site_type_symbol
_atom_site_fract_x
_atom_site_fract_y
_atom_site_fract_z
Li1 Li 0.000 0.000 0.000
Li2 Li 0.064 0.500 0.811
Li3 Li 0.242 0.500 0.499
Li4 Li 0.435 0.000 0.144
Mg1 Mg 0.462 0.500 0.318
Zn1 Zn 0.033 0.000 0.645
Zn2 Zn 0.500 0.500 0.000



# LiMg17Zn11 PBE optimized geometry
# - ΔE_f: -67 meV/atom
# - Total energy: -1.551 eV per atom
data_LiMg17Zn11
_chemical_formula_sum 'Li2 Mg34 Zn22'
_cell_length_a 10.398
_cell_length_b 14.055
_cell_length_c 8.745
_cell_angle_alpha 90.00
_cell_angle_beta 120.50
_cell_angle_gamma 90.00
_symmetry_space_group_name_H-M 'C 1 m 1'
_symmetry_Int_Tables_number 8
loop_
_symmetry_equiv_pos_as_xyz
'x,y,z'
'x,-y,z'
'x+1/2,y+1/2,z'
'x+1/2,-y+1/2,z'
loop_
_atom_site_label
_atom_site_type_symbol
_atom_site_fract_x
_atom_site_fract_y
_atom_site_fract_z
Li1 Li 0.000 0.000 0.000
Mg1 Mg 0.041 0.000 0.510
Mg2 Mg 0.126 0.128 0.844
Mg3 Mg 0.160 0.194 0.540
Mg4 Mg 0.163 0.500 0.211
Mg5 Mg 0.166 0.500 0.851
Mg6 Mg 0.186 0.142 0.231
Mg7 Mg 0.328 0.331 0.440
Mg8 Mg 0.344 0.319 0.848
Mg9 Mg 0.355 0.000 0.540
Mg10 Mg 0.356 0.000 0.153
Mg11 Mg 0.456 0.203 0.183
Zn1 Zn 0.090 0.406 0.495
Zn2 Zn 0.157 0.309 0.034
Zn3 Zn 0.351 0.500 0.658
Zn4 Zn 0.402 0.093 0.870
Zn5 Zn 0.402 0.404 0.184
Zn6 Zn 0.496 0.186 0.679



# Li3Mg4Zn PBE optimized geometry
# - ΔE_f: -72 meV/atom
# - Total energy: -1.747 eV per atom
# - Polymorph energy (0 for the lowest one): 0.000 eV per atom
data_Li3Mg4Zn
_chemical_formula_sum 'Li3 Mg4 Zn1'
_cell_length_a 3.366
_cell_length_b 3.366
_cell_length_c 13.653
_cell_angle_alpha 90.00
_cell_angle_beta 90.00
_cell_angle_gamma 90.00
_symmetry_space_group_name_H-M 'P 4/m m m'
_symmetry_Int_Tables_number 123
_symmetry_space_group_name_Hall '-P 4 2'
loop_
_atom_site_label
_atom_site_type_symbol
_atom_site_fract_x
_atom_site_fract_y
_atom_site_fract_z
Li1 Li 0.000 0.000 0.000
Li2 Li 0.000 0.000 0.253
Mg1 Mg 0.500 0.500 0.127
Mg2 Mg 0.500 0.500 0.378
Zn1 Zn 0.000 0.000 0.500



# Li4Mg2Zn3 PBE optimized geometry
# - ΔE_f: -56 meV/atom
# - Total energy: -1.685 eV per atom
data_Li4Mg2Zn3
_chemical_formula_sum 'Li8 Mg4 Zn6'
_cell_length_a 7.369
_cell_length_b 6.478
_cell_length_c 7.394
_cell_angle_alpha 90.00
_cell_angle_beta 118.13
_cell_angle_gamma 90.00
_symmetry_space_group_name_H-M 'P 1 21/c 1'
_symmetry_Int_Tables_number 14
loop_
_symmetry_equiv_pos_as_xyz
'x,y,z'
'-x,-y,-z'
'-x,y+1/2,-z+1/2'
'x,-y+1/2,z+1/2'
loop_
_atom_site_label
_atom_site_type_symbol
_atom_site_fract_x
_atom_site_fract_y
_atom_site_fract_z
Li1 Li 0.040 0.135 0.165
Li2 Li 0.414 0.539 0.116
Mg1 Mg 0.309 0.111 0.966
Zn1 Zn 0.000 0.000 0.500
Zn2 Zn 0.242 0.705 0.746



# LiMg4Zn PBE optimized geometry
# - ΔE_f: 137 meV/atom
# - Total energy: -1.457 eV per atom
# - Polymorph energy (0 for the lowest one): 0.173 eV per atom
data_LiMg4Zn
_chemical_formula_sum 'Li1 Mg4 Zn1'
_cell_length_a 4.577
_cell_length_b 4.579
_cell_length_c 6.799
_cell_angle_alpha 88.29
_cell_angle_beta 88.52
_cell_angle_gamma 89.89
_symmetry_space_group_name_H-M 'P -1'
_symmetry_Int_Tables_number 2
loop_
_symmetry_equiv_pos_as_xyz
'x,y,z'
'-x,-y,-z'
loop_
_atom_site_label
_atom_site_type_symbol
_atom_site_fract_x
_atom_site_fract_y
_atom_site_fract_z
Li1 Li 0.000 0.000 0.000
Mg1 Mg 0.005 0.495 0.261
Mg2 Mg 0.495 0.006 0.261
Zn1 Zn 0.500 0.500 0.500



# Li6Mg12Zn PBE optimized geometry
# - ΔE_f: 8 meV/atom
# - Total energy: -1.671 eV per atom
# - Polymorph energy (0 for the lowest one): 0.038 eV per atom
data_Li6Mg12Zn
_chemical_formula_sum 'Li18 Mg36 Zn3'
_cell_length_a 11.6870
_cell_length_b 11.6870
_cell_length_c 10.5920
_cell_angle_alpha 90.00
_cell_angle_beta 90.00
_cell_angle_gamma 120.00
_symmetry_space_group_name_H-M 'R -3 m'
_symmetry_Int_Tables_number 166
_symmetry_space_group_name_Hall '-R 3 2"'
loop_
_atom_site_label
_atom_site_type_symbol
_atom_site_fract_x
_atom_site_fract_y
_atom_site_fract_z
Li1 Li 0.0000 0.2525 0.0000
Mg1 Mg 0.0483 0.5241 0.1273
Mg2 Mg 0.0885 0.1769 0.7444
Zn1 Zn 0.0000 0.0000 0.5000



# Li5Mg2Zn2 PBE optimized geometry
# - ΔE_f: -55 meV/atom
# - Total energy: -1.756 eV per atom
# - Polymorph energy (0 for the lowest one): 0.000 eV per atom
data_Li5Mg2Zn2
_chemical_formula_sum 'Li20 Mg8 Zn8'
_cell_length_a 4.581
_cell_length_b 12.561
_cell_length_c 11.376
_cell_angle_alpha 90.00
_cell_angle_beta 90.00
_cell_angle_gamma 90.00
_symmetry_space_group_name_H-M 'I m m a'
_symmetry_Int_Tables_number 74
_symmetry_space_group_name_Hall '-I 2b 2'
loop_
_atom_site_label
_atom_site_type_symbol
_atom_site_fract_x
_atom_site_fract_y
_atom_site_fract_z
Li1 Li 0.000 0.043 0.166
Li2 Li 0.000 0.146 0.693
Li3 Li 0.000 0.250 0.185
Mg1 Mg 0.000 0.000 0.500
Mg2 Mg 0.000 0.250 0.453
Zn1 Zn 0.000 0.148 0.940



# Li8Mg5Zn PBE optimized geometry
# - ΔE_f: -60 meV/atom
# - Total energy: -1.814 eV per atom
data_Li8Mg5Zn
_chemical_formula_sum 'Li16 Mg10 Zn2'
_cell_length_a 14.931
_cell_length_b 4.715
_cell_length_c 10.089
_cell_angle_alpha 90.00
_cell_angle_beta 129.90
_cell_angle_gamma 90.00
_symmetry_space_group_name_H-M 'C 1 2/m 1'
_symmetry_Int_Tables_number 12
loop_
_symmetry_equiv_pos_as_xyz
'x,y,z'
'-x,-y,-z'
'-x,y,-z'
'x,-y,z'
'x+1/2,y+1/2,z'
'-x+1/2,-y+1/2,-z'
'-x+1/2,y+1/2,-z'
'x+1/2,-y+1/2,z'
loop_
_atom_site_label
_atom_site_type_symbol
_atom_site_fract_x
_atom_site_fract_y
_atom_site_fract_z
Li1 Li 0.068 0.000 0.294
Li2 Li 0.069 0.500 0.788
Li3 Li 0.139 0.000 0.075
Li4 Li 0.215 0.500 0.363
Mg1 Mg 0.000 0.500 0.000
Mg2 Mg 0.136 0.500 0.571
Mg3 Mg 0.212 0.000 0.853
Zn1 Zn 0.000 0.000 0.500